1.
# Dy12ErIn6 (PBE-GGA, optimized geometry)
data_Dy12ErIn6
_chemical_formula_sum 'Dy36 Er3 In18'
_symmetry_space_group_name_H-M 'R -3'
_symmetry_Int_Tables_number 148
_symmetry_space_group_name_Hall '-R 3'
_cell_length_a 11.4121
_cell_length_b 11.4121
_cell_length_c 14.4719
_cell_angle_alpha 90.00
_cell_angle_beta 90.00
_cell_angle_gamma 120.00
loop_
_atom_site_label
_atom_site_type_symbol
_atom_site_fract_x
_atom_site_fract_y
_atom_site_fract_z
Dy1 Dy 0.0634 0.8470 0.4100
Dy2 Dy 0.0699 0.1881 0.8038
Er1 Er 0.0000 0.0000 0.0000
In1 In 0.0294 0.4382 0.7155
# E_form = -0.208 eV/atom


2.
# Dy4Er9In11 (PBE-GGA, optimized geometry)
data_Dy4Er9In11
_chemical_formula_sum 'Dy8 Er18 In22'
_symmetry_space_group_name_H-M 'C m m m'
_symmetry_Int_Tables_number 65
_symmetry_space_group_name_Hall '-C 2 2'
_cell_length_a 15.832
_cell_length_b 23.179
_cell_length_c 3.472
_cell_angle_alpha 90.00
_cell_angle_beta 90.00
_cell_angle_gamma 90.00
loop_
_atom_site_label
_atom_site_type_symbol
_atom_site_fract_x
_atom_site_fract_y
_atom_site_fract_z
Dy1 Dy 0.172 0.082 0.000
Er1 Er 0.000 0.000 0.000
Er2 Er 0.108 0.404 0.000
Er3 Er 0.111 0.224 0.000
In1 In 0.000 0.121 0.500
In2 In 0.000 0.312 0.500
In3 In 0.000 0.500 0.500
In4 In 0.205 0.500 0.500
In5 In 0.226 0.317 0.500
# E_form = -0.380 eV/atom


3.
# Dy7Er2In (PBE-GGA, optimized geometry)
data_Dy7Er2In
_chemical_formula_sum 'Dy14 Er4 In2'
_symmetry_space_group_name_H-M 'C m m m'
_symmetry_Int_Tables_number 65
_symmetry_space_group_name_Hall '-C 2 2'
_cell_length_a 8.660
_cell_length_b 16.113
_cell_length_c 5.317
_cell_angle_alpha 90.00
_cell_angle_beta 90.00
_cell_angle_gamma 90.00
loop_
_atom_site_label
_atom_site_type_symbol
_atom_site_fract_x
_atom_site_fract_y
_atom_site_fract_z
Dy1 Dy 0.000 0.000 0.000
Dy2 Dy 0.000 0.298 0.500
Dy3 Dy 0.177 0.393 0.000
Er1 Er 0.000 0.208 0.000
In1 In 0.000 0.500 0.500
# E_form = 0.582 eV/atom


Q: Number 2 is which compound?
A: Dy4Er9In11


Q: Look up the E_form of the first one.
A: -0.208 eV/atom


Repeat the first record exactly.
# Dy12ErIn6 (PBE-GGA, optimized geometry)
data_Dy12ErIn6
_chemical_formula_sum 'Dy36 Er3 In18'
_symmetry_space_group_name_H-M 'R -3'
_symmetry_Int_Tables_number 148
_symmetry_space_group_name_Hall '-R 3'
_cell_length_a 11.4121
_cell_length_b 11.4121
_cell_length_c 14.4719
_cell_angle_alpha 90.00
_cell_angle_beta 90.00
_cell_angle_gamma 120.00
loop_
_atom_site_label
_atom_site_type_symbol
_atom_site_fract_x
_atom_site_fract_y
_atom_site_fract_z
Dy1 Dy 0.0634 0.8470 0.4100
Dy2 Dy 0.0699 0.1881 0.8038
Er1 Er 0.0000 0.0000 0.0000
In1 In 0.0294 0.4382 0.7155
# E_form = -0.208 eV/atom


Q: Which of these has the lowest E_form?
A: Dy4Er9In11